Entry 1:
A PBEsol-optimized structure of Tb5Mg, computed with meta-GGA SCAN.

Values from the calculation:
electronic total energy: -39.786 eV per atom
D(E_F): 7.85 states/eV/f.u.
formation energy: 0.265 kcal/mol of atoms
SG: Amm2, No. 38
excess energy over the best structure of this formula in the dataset: 0.009 eV/atom
size of the total moment: 0.040 Bohr magnetons per cell

```
6
Lattice="3.536 0.000 0.000 0.000 5.551 0.000 -1.768 0.000 8.893" Properties=species:S:1:pos:R:3 pbc="T T T"
Mg 0.000 2.775 3.917
Tb 0.000 0.000 0.061
Tb 1.768 0.000 3.062
Tb 0.000 0.000 5.931
Tb 1.768 2.775 0.952
Tb 1.768 2.775 6.827
```


Entry 2:
A PBEsol-optimized structure of MnAg2Pt, computed with meta-GGA SCAN.

Values from the calculation:
electronic total energy: -37.942 eV per atom
D(E_F): 1.59 states/eV/f.u.
formation energy: -3.388 kcal/mol of atoms
SG: C2/m, No. 12
excess energy over the best structure of this formula in the dataset: 0.099 eV/atom
size of the total moment: 4.436 Bohr magnetons per cell

```
4
Lattice="2.790 0.009 0.000 -0.194 4.697 0.000 -1.298 -2.353 4.762" Properties=species:S:1:pos:R:3 pbc="T T T"
Ag -0.649 -1.177 2.381
Ag 0.649 1.177 2.381
Mn 1.395 0.005 0.000
Pt -0.097 2.349 0.000
```


Entry 3:
A PBEsol-optimized structure of CaZnTc, computed with meta-GGA SCAN.

Values from the calculation:
electronic total energy: -18.797 eV per atom
D(E_F): 2.63 states/eV/f.u.
formation energy: 14.206 kcal/mol of atoms
SG: P3m1, No. 156
excess energy over the best structure of this formula in the dataset: 0.317 eV/atom
size of the total moment: 0.006 Bohr magnetons per cell

```
3
Lattice="2.930 0.000 0.000 -1.465 2.537 0.000 0.000 0.000 7.117" Properties=species:S:1:pos:R:3 pbc="T T T"
Zn 1.465 0.846 2.554
Ca 0.000 0.000 7.059
Tc 0.000 1.692 4.620
```


Entry 4:
A PBEsol-optimized structure of BPbCO2, computed with meta-GGA SCAN.

Values from the calculation:
electronic total energy: -20.799 eV per atom
D(E_F): 1.79 states/eV/f.u.
SG: P4/mmm, No. 123
size of the total moment: 0.001 Bohr magnetons per cell

```
5
Lattice="-2.865 0.007 1.119 -1.377 -1.638 -3.515 0.588 -3.775 1.529" Properties=species:S:1:pos:R:3 pbc="T T T"
Pb -1.827 -2.703 -0.434
C -1.432 0.003 0.559
B 0.000 0.000 0.000
O 0.294 -1.888 0.764
O -0.688 -0.819 -1.758
```


Entry 5:
A PBEsol-optimized structure of AuBr5, computed with meta-GGA SCAN.

Values from the calculation:
electronic total energy: -27.382 eV per atom
D(E_F): 2.50 states/eV/f.u.
SG: P4/mmm, No. 123
excess energy over the best structure of this formula in the dataset: 0.267 eV/atom
size of the total moment: 0.000 Bohr magnetons per cell

```
6
Lattice="-2.357 -0.336 -1.424 1.463 -0.571 -2.287 -0.122 -20.650 5.074" Properties=species:S:1:pos:R:3 pbc="T T T"
Au -0.447 -0.453 -1.855
Br -0.102 -17.383 4.271
Br -0.019 -3.268 0.803
Br -0.529 -14.304 1.548
Br -0.487 -7.253 -0.184
Br -0.061 -10.325 2.537
```


Entry 6:
A PBEsol-optimized structure of KCaSb2, computed with meta-GGA SCAN.

Values from the calculation:
electronic total energy: -23.813 eV per atom
D(E_F): 1.40 states/eV/f.u.
SG: P4/mmm, No. 123
excess energy over the best structure of this formula in the dataset: 0.011 eV/atom
size of the total moment: 0.000 Bohr magnetons per cell

```
4
Lattice="3.470 0.000 0.000 0.000 3.470 0.000 0.000 0.000 9.627" Properties=species:S:1:pos:R:3 pbc="T T T"
Sb 0.000 0.000 7.425
Sb 0.000 0.000 2.202
Ca 1.735 1.735 0.000
K 1.735 1.735 4.814
```


Entry 7:
A PBEsol-optimized structure of LaCdTe2, computed with meta-GGA SCAN.

Values from the calculation:
electronic total energy: -37.992 eV per atom
D(E_F): 2.93 states/eV/f.u.
SG: R-3m, No. 166
size of the total moment: 0.000 Bohr magnetons per cell

```
4
Lattice="-2.678 2.006 -2.726 -4.174 0.440 1.006 -0.744 7.543 2.869" Properties=species:S:1:pos:R:3 pbc="T T T"
Cd -3.798 4.995 0.575
Te -1.881 2.576 0.327
Te -5.715 7.414 0.822
La 0.000 0.000 0.000
```


Entry 8:
A PBEsol-optimized structure of Mg2AlAs, computed with meta-GGA SCAN.

Values from the calculation:
electronic total energy: -9.614 eV per atom
D(E_F): 1.04 states/eV/f.u.
formation energy: -3.267 kcal/mol of atoms
SG: Imm2, No. 44
excess energy over the best structure of this formula in the dataset: 0.000 eV/atom
size of the total moment: 0.014 Bohr magnetons per cell

```
4
Lattice="-2.435 -2.132 1.515 -0.675 -1.837 -3.669 5.431 -1.655 2.186" Properties=species:S:1:pos:R:3 pbc="T T T"
Mg 2.004 -5.325 -0.059
Mg 0.726 -2.891 1.314
As 1.493 -2.637 -1.311
Al -1.136 -2.378 -0.957
```


Entry 9:
A PBEsol-optimized structure of YMnNi2, computed with meta-GGA SCAN.

Values from the calculation:
electronic total energy: -19.863 eV per atom
D(E_F): 2.48 states/eV/f.u.
formation energy: -5.807 kcal/mol of atoms
SG: P4/mmm, No. 123
excess energy over the best structure of this formula in the dataset: 0.094 eV/atom
size of the total moment: 5.017 Bohr magnetons per cell

```
4
Lattice="-0.181 -2.210 -2.209 2.964 0.580 -0.822 1.930 -4.172 4.016" Properties=species:S:1:pos:R:3 pbc="T T T"
Mn 2.356 -2.901 0.492
Ni 1.362 -2.944 2.833
Ni 0.568 -1.228 1.182
Y 1.392 -0.815 -1.516
```


Entry 10:
A PBEsol-optimized structure of CaFe2As, computed with meta-GGA SCAN.

Values from the calculation:
electronic total energy: -16.758 eV per atom
D(E_F): 2.64 states/eV/f.u.
formation energy: -5.303 kcal/mol of atoms
SG: R3m, No. 160
size of the total moment: 3.789 Bohr magnetons per cell

```
4
Lattice="3.915 0.000 0.000 1.957 3.390 0.000 1.957 1.130 5.157" Properties=species:S:1:pos:R:3 pbc="T T T"
As 3.915 2.260 3.253
Ca 1.957 1.130 1.186
Fe 1.957 1.130 4.280
Fe 5.872 3.390 4.076
```


Entry 11:
A PBEsol-optimized structure of Na2TiPCO7, computed with meta-GGA SCAN.

Values from the calculation:
electronic total energy: -9.753 eV per atom
SG: P2_1/m, No. 11
size of the total moment: 2.000 Bohr magnetons per cell

```
24
Lattice="-2.713 -1.300 -4.274 5.207 -3.141 -2.349 -2.665 -7.539 4.175" Properties=species:S:1:pos:R:3 pbc="T T T"
Na 2.470 -9.260 -0.145
Na -0.083 -7.720 1.007
Na -0.088 -4.262 -3.455
Na -2.642 -2.721 -2.303
Ti -2.567 -6.697 -1.257
Ti 2.396 -5.284 -1.191
P 0.450 -7.608 -2.396
P -0.622 -4.373 -0.052
C -3.122 -8.675 0.158
C 2.951 -3.306 -2.606
O 0.556 -9.860 0.849
O -3.571 -8.506 -1.065
O -2.344 -7.680 0.553
O 0.993 -8.984 -2.844
O -1.016 -7.772 -1.937
O -0.675 -5.359 1.147
O 1.310 -7.064 -1.218
O -1.482 -4.918 -1.230
O 0.504 -6.623 -3.595
O 0.845 -4.210 -0.511
O -1.164 -2.997 0.396
O 2.173 -4.301 -3.001
O 3.400 -3.475 -1.384
O -0.727 -2.122 -3.297
```


Entry 12:
A PBEsol-optimized structure of Li2FeP2, computed with meta-GGA SCAN.

Values from the calculation:
electronic total energy: -9.320 eV per atom
D(E_F): 1.35 states/eV/f.u.
formation energy: -13.353 kcal/mol of atoms
SG: P4/mbm, No. 127
size of the total moment: 2.549 Bohr magnetons per cell

```
10
Lattice="-3.236 -2.175 -0.757 3.244 -4.607 -0.632 -0.533 -1.133 5.529" Properties=species:S:1:pos:R:3 pbc="T T T"
P 0.711 -2.635 4.530
P 2.450 -4.688 2.993
P 2.001 -3.105 0.368
P 0.261 -1.052 1.904
Fe 0.000 0.000 0.000
Fe 1.356 -2.870 2.449
Li -1.411 -2.656 3.241
Li 0.131 -5.130 3.759
Li 0.886 -5.258 0.899
Li -0.655 -2.784 0.381
```